Computed, not measured: a relaxed structure of ZrRe2Mo at the PBE level of DFT.

Output
N(E_F) (states/eV/atom): 0.65
Offset from the most stable computed form (eV per formula unit): 0.44
DFT formation energy (eV/atom): -0.0052
Magnetic moment (μB/cell): 0.00
E_tot (eV per atom): -11.074
Symmetry: No. 6

Cell lengths 2.795, 4.514, 5.323 Å; angles 90.00, 100.04, 90.00 degrees
Positions (direct):
Zr1 0.000 0.000 0.000
Re1 0.252 0.500 0.745
Re2 0.508 0.000 0.500
Mo1 0.751 0.500 0.261

=====

Computed, not measured: a relaxed structure of ZrRe2Mo at the PBE level of DFT.

Output
N(E_F) (states/eV/atom): 0.61
Offset from the most stable computed form (eV per formula unit): 0.42
DFT formation energy (eV/atom): -0.0111
Magnetic moment (μB/cell): 0.00
E_tot (eV per atom): -11.080
Symmetry: No. 10

Cell lengths 2.795, 4.525, 5.305 Å; angles 90.00, 100.01, 90.00 degrees
Positions (direct):
Zr1 0.000 0.000 0.000
Re1 0.256 0.500 0.742
Re2 0.744 0.500 0.258
Mo1 0.500 0.000 0.500

=====

Computed, not measured: a relaxed structure of ZrRe3Mo at the PBE level of DFT.

Output
N(E_F) (states/eV/atom): 0.60
Offset from the most stable computed form (eV per formula unit): 0.00
DFT formation energy (eV/atom): 1.5569
Magnetic moment (μB/cell): 0.00
E_tot (eV per atom): -9.788
Symmetry: No. 221

Cell lengths 4.679, 4.679, 4.679 Å; angles 90.00, 90.00, 90.00 degrees
Positions (direct):
Zr1 0.000 0.000 0.000
Re1 0.000 0.500 0.500
Re2 0.500 0.000 0.500
Re3 0.500 0.500 0.000
Mo1 0.500 0.500 0.500

=====

Computed, not measured: a relaxed structure of ZrReMo2 at the PBE level of DFT.

Output
N(E_F) (states/eV/atom): 0.86
Offset from the most stable computed form (eV per formula unit): 1.50
DFT formation energy (eV/atom): 0.2804
Magnetic moment (μB/cell): 0.00
E_tot (eV per atom): -10.384
Symmetry: No. 65

Cell lengths 5.378, 9.498, 2.685 Å; angles 90.00, 90.00, 90.00 degrees
Positions (direct):
Zr1 0.000 0.000 0.000
Zr2 0.500 0.500 0.000
Re1 0.000 0.500 0.000
Re2 0.500 0.000 0.000
Mo1 0.250 0.250 0.500
Mo2 0.250 0.750 0.500
Mo3 0.750 0.250 0.500
Mo4 0.750 0.750 0.500